Entry from the Alexandria database: crystalline SmY2PuS4 at its relaxed geometry (GGA-PBE).

Computed properties:
The final energy is -64.24 eV per cell. For the raw formation energy, the calculation gives -190.0 kJ per mole of atoms.

Structure (POSCAR):
```
SmY2PuS4
1.0
6.846 0.000 0.000
0.000 3.935 0.000
-2.255 0.000 6.474
Sm Y Pu S
1 2 1 4
Cartesian
0.000 0.000 0.000
-1.128 1.968 3.237
2.295 0.000 3.237
3.423 1.968 0.000
0.034 0.000 4.825
1.162 1.968 1.661
3.428 1.968 4.813
4.556 0.000 1.649
```